Record 1
SrFeBr2 | PBE | optimized geometry

abc: 5.787 5.787 8.283
angles: 69.55 69.55 90.00
Fractional positions:
1 Br 0.375 0.458 0.750
2 Br 0.542 0.125 0.250
3 Sr 0.000 0.000 0.000
4 Br 0.875 0.792 0.750
5 Fe 0.250 0.750 0.500
6 Br 0.208 0.625 0.250
7 Fe 0.500 0.500 0.000
8 Sr 0.750 0.250 0.500

## Properties
- Space-group type: I-42d (122)
- Formation energy (no corrections): -1.825 eV per formula unit

=====

Record 2
SrFeBr2 | PBE | optimized geometry

abc: 5.035 5.035 4.052
angles: 90.00 90.00 90.00
Fractional positions:
1 Fe 0.500 0.000 0.500
2 Br 0.000 0.000 0.000
3 Br 0.500 0.500 0.000
4 Sr 0.000 0.500 0.500

## Properties
- Space-group type: P4/mmm (123)
- Formation energy (no corrections): -1.883 eV per formula unit

=====

Record 3
SrFeBr2 | PBE | optimized geometry

abc: 6.556 6.556 6.556
angles: 140.92 140.92 56.45
Fractional positions:
1 Br 0.000 0.000 0.000
2 Br 0.250 0.750 0.500
3 Sr 0.750 0.250 0.500
4 Fe 0.500 0.500 0.000

## Properties
- Space-group type: I-4m2 (119)
- Formation energy (no corrections): -1.541 eV per formula unit

=====

Record 4
SrFeBr3 | PBE | optimized geometry

abc: 5.161 5.161 5.161
angles: 90.00 90.00 90.00
Fractional positions:
1 Br 0.000 0.500 0.000
2 Br 0.000 0.000 0.500
3 Fe 0.000 0.000 0.000
4 Sr 0.500 0.500 0.500
5 Br 0.500 0.000 0.000

## Properties
- Space-group type: Pm-3m (221)
- Formation energy (no corrections): -4.286 eV per formula unit

=====

Record 5
SrFeBr2 | PBE | optimized geometry

abc: 5.943 5.943 4.639
angles: 67.12 67.12 101.52
Fractional positions:
1 Sr 0.000 0.500 0.500
2 Fe 0.500 0.000 0.500
3 Br 0.000 0.000 0.000
4 Br 0.500 0.500 0.000

## Properties
- Space-group type: C2/m (12)
- Formation energy (no corrections): -1.609 eV per formula unit

=====

Record 6
SrFeBr2 | PBE | optimized geometry

abc: 5.438 5.438 5.438
angles: 60.00 60.00 60.00
Fractional positions:
1 Fe 0.500 0.500 0.500
2 Sr 0.750 0.750 0.750
3 Br 0.250 0.250 0.250
4 Br 0.000 0.000 0.000

## Properties
- Space-group type: F-43m (216)
- Formation energy (no corrections): -0.514 eV per formula unit